KCoP2 after structural relaxation, computed with GGA-PBE.

Unit cell a=4.143 b=4.138 c=4.159 alpha=90.00 beta=90.00 gamma=90.00
Each line ends with the local moment (μB).
Element x y z (fractional)
1 Co 0.500 0.000 0.500  1.74
2 K 0.000 0.500 0.500  0.00
3 P 0.000 0.000 0.000  -0.01
4 P 0.500 0.500 0.000  -0.01

Properties
- Density of states at the Fermi level: 1.23 states/eV per atom
- Energy: -3.9113 eV/atom
- Energy above the lowest structure with this stoichiometry: 1185 meV/atom